Record 1
## CaTbAlS4 (GGA-PBE)

Data for a relaxed CaTbAlS4 crystal.

```
14
Lattice="7.6541 0.0000 0.0000 3.8271 6.7538 0.0629 3.8271 2.1174 6.4136" Properties=species:S:1:pos:R:3 pbc="T T T"
Al 7.6541 4.4553 5.6865
S 7.6541 2.2609 1.5563
S 5.7722 3.3286 4.8640
Ca 1.9135 1.0587 3.2068
Tb 0.0000 0.0000 0.0000
S 3.8271 2.2645 1.5589
Tb 3.8271 4.4356 3.2382
S 7.6541 6.6103 4.9202
S 9.5361 5.5425 1.6125
S 9.5361 3.3286 4.8640
S 11.4812 6.6067 4.9175
S 5.7722 5.5425 1.6125
Ca 5.7406 1.0587 3.2068
Al 7.6541 4.4159 0.7900
```

=====

Record 2
## CaAl2TeS (GGA-PBE)

Data for a relaxed CaAl2TeS crystal.

```
5
Lattice="5.4492 0.0000 0.0000 0.0000 5.2579 0.0000 0.0000 0.0000 5.4492" Properties=species:S:1:pos:R:3 pbc="T T T"
Al 0.0000 0.0000 2.7246
S 0.0000 2.6289 0.0000
Al 2.7246 0.0000 0.0000
Te 0.0000 0.0000 0.0000
Ca 2.7246 2.6289 2.7246
```

=====

Record 3
## CaAl2TeS6 (GGA-PBE)

Data for a relaxed CaAl2TeS6 crystal.

```
20
Lattice="6.8414 -0.3236 -0.3358 1.7973 8.2458 0.3437 1.7973 0.0378 8.2529" Properties=species:S:1:pos:R:3 pbc="T T T"
S 8.4176 2.8398 7.1968
Ca 3.5077 7.3815 1.0146
S 8.7928 5.6110 4.6833
Al 7.6113 4.7610 6.4100
S 2.8090 1.7034 0.0193
S 5.0639 3.3261 2.3121
Al 2.8247 3.1991 1.8507
S 6.2297 -0.2057 1.5350
S 5.3721 4.6339 5.9486
S 5.4391 0.7116 4.9882
S 4.2063 8.1657 6.7258
S 7.6270 6.2567 8.2415
Al 6.2454 1.5691 3.0976
Ca 6.9284 0.5785 7.2461
S 4.9970 7.2485 3.2725
Te 3.5077 2.1823 6.0246
Al 4.1906 6.3910 5.1632
S 2.0184 5.1202 1.0639
S 1.6432 2.3491 3.5775
Te 6.9284 5.7777 2.2362
```

=====

Record 4
## CaAlTlS3 (GGA-PBE)

Data for a relaxed CaAlTlS3 crystal.

```
12
Lattice="-2.6305 -1.9671 2.0377 -3.0128 -2.2094 -9.6884 6.4213 -6.2698 2.2369" Properties=species:S:1:pos:R:3 pbc="T T T"
S 0.2373 -3.2762 -2.8564
Al 2.1334 -2.2748 0.5581
S -0.0947 -2.6050 1.0292
Ca 0.3601 -5.0731 -0.7663
Al -1.3554 -8.1715 -5.9720
S 0.5407 -7.1700 -2.5575
S 3.0313 -4.2581 -0.1974
S -2.2534 -6.1881 -5.2165
Tl -2.1524 -2.4184 -1.4470
Tl 2.9303 -8.0278 -3.9669
S 0.8726 -7.8412 -6.4431
Ca 0.4179 -5.3732 -4.6476
```

=====

Record 5
## CaTmAlS4 (GGA-PBE)

Data for a relaxed CaTmAlS4 crystal.

```
14
Lattice="7.5915 0.0000 0.0000 3.7958 6.7060 0.0628 3.7958 2.1027 6.3681" Properties=species:S:1:pos:R:3 pbc="T T T"
S 11.3873 6.5355 4.8664
S 7.5915 2.2218 1.5269
Ca 5.6936 1.0514 3.1841
S 3.7958 2.2732 1.5644
Al 7.5916 4.3762 0.7784
Al 7.5915 4.4325 5.6525
S 7.5915 6.5869 4.9040
Tm 3.7958 4.4044 3.2154
Ca 1.8979 1.0514 3.1841
S 5.6984 5.4971 1.5967
S 9.4848 5.4971 1.5967
S 9.4847 3.3116 4.8342
Tm 0.0000 0.0000 0.0000
S 5.6983 3.3116 4.8342
```

=====

Record 6
## CaAlSb2 (GGA-PBE)

Data for a relaxed CaAlSb2 crystal.

```
4
Lattice="3.4908 0.0000 0.0000 0.0000 4.8639 0.0000 0.0000 0.0000 6.5045" Properties=species:S:1:pos:R:3 pbc="T T T"
Sb 0.0000 0.0000 5.8972
Al 0.0000 0.0000 3.0550
Sb 1.7454 2.4320 2.0776
Ca 1.7454 2.4320 5.2315
```

=====

Number 1: DFT total energy -77.0 eV for the cell shown, formation energy (no corrections) -1662 meV per atom. Number 2: DFT total energy -15.1 eV for the cell shown, formation energy (no corrections) 339 meV per atom. Number 3: DFT total energy -92.0 eV for the cell shown, formation energy (no corrections) -863 meV per atom. Number 4: DFT total energy -55.6 eV for the cell shown, formation energy (no corrections) -1218 meV per atom. Number 5: DFT total energy -76.8 eV for the cell shown, formation energy (no corrections) -1669 meV per atom. Number 6: DFT total energy -15.0 eV for the cell shown, formation energy (no corrections) -250 meV per atom.